U2Sn2GeRu4 | PBE-GGA | relaxed

Structure (POSCAR):
```
U2Sn2GeRu4
1.0
-3.158 3.158 4.470
3.158 -3.158 4.470
3.158 3.158 -4.470
U Sn Ge Ru
2 2 1 4
Cartesian
0.000 0.000 1.679
0.000 0.000 7.260
3.158 0.000 2.235
0.000 3.158 2.235
0.000 0.000 4.470
1.426 1.426 0.000
1.732 -1.732 4.470
-1.732 1.732 4.470
1.732 1.732 4.470
```

Summary:
- formation enthalpy at 0 K (meV per atom) = 87
- final energy (eV per atom) = -7.947
- space-group type = I4/mmm